1.
# Y2MgNiI

A geometry-optimized Y2MgNiI structure (GGA-PBEsol, the Alexandria database).

a = 4.5464 Å, b = 5.6054 Å, c = 5.6054 Å
α = 90.00°, β = 90.00°, γ = 90.00°
Last column: nearest neighbours and their distance in Å.
Positions (direct):
I  0.0000  0.0000  0.0000  2 Ni 2.27
Y  0.0000  0.0000  0.5000  2 I 2.80
Y  0.0000  0.5000  0.0000  2 I 2.80
Mg  0.5000  0.5000  0.5000  8 Y 3.61, 4 Ni 3.96
Ni  0.5000  0.0000  0.0000  2 I 2.27

Properties
Raw formation energy in eV/atom: 0.2871
Raw total energy in eV per cell: -21.85
ρ in g/cm³: 4.5
Fermi-level density of states in states/eV per atom: 1.036

---

2.
# MgI3O

A geometry-optimized MgI3O structure (GGA-PBEsol, the Alexandria database).

a = 5.0543 Å, b = 5.0543 Å, c = 5.0543 Å
α = 90.00°, β = 90.00°, γ = 90.00°
Last column: nearest neighbours and their distance in Å.
Positions (direct):
I  0.0000  0.5000  0.0000  2 O 2.53
I  0.0000  0.0000  0.5000  2 O 2.53
I  0.5000  0.0000  0.0000  2 O 2.53
Mg  0.5000  0.5000  0.5000  12 I 3.57
O  0.0000  0.0000  0.0000  6 I 2.53

Properties
Raw formation energy in eV/atom: 0.0592
Raw total energy in eV per cell: -11.97
ρ in g/cm³: 5.4
Fermi-level density of states in states/eV per atom: 0.461

---

3.
# MgOsI2O

A geometry-optimized MgOsI2O structure (GGA-PBEsol, the Alexandria database).

a = 3.7235 Å, b = 5.5541 Å, c = 5.5541 Å
α = 90.00°, β = 90.00°, γ = 90.00°
Last column: nearest neighbours and their distance in Å.
Positions (direct):
I  0.0000  0.0000  0.5000  2 Os 2.78
I  0.0000  0.5000  0.0000  2 Os 2.78
Mg  0.5000  0.5000  0.5000  8 I 3.34, 2 Mg 3.72
Os  0.0000  0.0000  0.0000  2 O 1.86
O  0.5000  0.0000  0.0000  2 Os 1.86

Properties
Raw formation energy in eV/atom: -0.1705
Raw total energy in eV per cell: -23.57
ρ in g/cm³: 7.0
Fermi-level density of states in states/eV per atom: 0.472

---

4.
# MgPbI2O

A geometry-optimized MgPbI2O structure (GGA-PBEsol, the Alexandria database).

a = 3.7917 Å, b = 5.8096 Å, c = 5.8096 Å
α = 90.00°, β = 90.00°, γ = 90.00°
Last column: nearest neighbours and their distance in Å.
Positions (direct):
Pb  0.5000  0.5000  0.5000  8 I 3.47, 2 Pb 3.79
I  0.0000  0.0000  0.5000  2 Mg 2.90
I  0.0000  0.5000  0.0000  2 Mg 2.90
Mg  0.0000  0.0000  0.0000  2 O 1.90
O  0.5000  0.0000  0.0000  2 Mg 1.90

Properties
Raw formation energy in eV/atom: -0.7760
Raw total energy in eV per cell: -18.38
ρ in g/cm³: 6.5
Fermi-level density of states in states/eV per atom: 0.433

---

5.
# MgRhI2O

A geometry-optimized MgRhI2O structure (GGA-PBEsol, the Alexandria database).

a = 3.5787 Å, b = 5.4653 Å, c = 5.4653 Å
α = 90.00°, β = 90.00°, γ = 90.00°
Last column: nearest neighbours and their distance in Å.
Positions (direct):
I  0.0000  0.0000  0.5000  2 Mg 2.73
I  0.0000  0.5000  0.0000  2 Mg 2.73
Mg  0.0000  0.0000  0.0000  2 O 1.79
Rh  0.5000  0.5000  0.5000  8 I 3.27, 2 Rh 3.58
O  0.5000  0.0000  0.0000  2 Mg 1.79

Properties
Raw formation energy in eV/atom: 0.0235
Raw total energy in eV per cell: -18.52
ρ in g/cm³: 6.2
Excess energy over the best structure of this formula in the dataset in meV/atom: 368
Fermi-level density of states in states/eV per atom: 1.143

---

6.
# MgRhI2O

A geometry-optimized MgRhI2O structure (GGA-PBEsol, the Alexandria database).

a = 3.7333 Å, b = 5.5127 Å, c = 5.5127 Å
α = 90.00°, β = 90.00°, γ = 90.00°
Last column: nearest neighbours and their distance in Å.
Positions (direct):
I  0.0000  0.0000  0.5000  2 Rh 2.76
I  0.0000  0.5000  0.0000  2 Rh 2.76
Mg  0.5000  0.5000  0.5000  8 I 3.33
Rh  0.0000  0.0000  0.0000  2 O 1.87
O  0.5000  0.0000  0.0000  2 Rh 1.87

Properties
Raw formation energy in eV/atom: -0.3442
Raw total energy in eV per cell: -20.36
ρ in g/cm³: 5.8
Excess energy over the best structure of this formula in the dataset in meV/atom: 0
Fermi-level density of states in states/eV per atom: 0.531

---

7.
# MgScI2O

A geometry-optimized MgScI2O structure (GGA-PBEsol, the Alexandria database).

a = 3.8640 Å, b = 5.8510 Å, c = 5.8510 Å
α = 90.00°, β = 90.00°, γ = 90.00°
Last column: nearest neighbours and their distance in Å.
Positions (direct):
I  0.0000  0.0000  0.5000  2 Sc 2.93
I  0.0000  0.5000  0.0000  2 Sc 2.93
Sc  0.0000  0.0000  0.0000  2 O 1.93
Mg  0.5000  0.5000  0.5000  8 I 3.51, 2 Mg 3.86
O  0.5000  0.0000  0.0000  2 Sc 1.93

Properties
Raw formation energy in eV/atom: -1.3061
Raw total energy in eV per cell: -23.64
ρ in g/cm³: 4.3
Fermi-level density of states in states/eV per atom: 0.343

---

8.
# MgSeI2O

A geometry-optimized MgSeI2O structure (GGA-PBEsol, the Alexandria database).

a = 3.8150 Å, b = 5.8279 Å, c = 5.8279 Å
α = 90.00°, β = 90.00°, γ = 90.00°
Last column: nearest neighbours and their distance in Å.
Positions (direct):
I  0.0000  0.0000  0.5000  2 Se 2.91
I  0.0000  0.5000  0.0000  2 Se 2.91
Mg  0.5000  0.5000  0.5000  8 I 3.48, 2 Mg 3.81
O  0.5000  0.0000  0.0000  2 Se 1.91
Se  0.0000  0.0000  0.0000  2 O 1.91

Properties
Raw formation energy in eV/atom: -0.1338
Raw total energy in eV per cell: -15.02
ρ in g/cm³: 4.8
Fermi-level density of states in states/eV per atom: 0.664

---

9.
# MgSnIO2

A geometry-optimized MgSnIO2 structure (GGA-PBEsol, the Alexandria database).

a = 4.0987 Å, b = 4.0987 Å, c = 6.0856 Å
α = 90.00°, β = 90.00°, γ = 90.00°
Last column: nearest neighbours and their distance in Å.
Positions (direct):
I  0.0000  0.0000  0.5000  4 Mg 2.90, 2 Sn 3.04
Mg  0.5000  0.5000  0.5000  4 I 2.90
Sn  0.0000  0.0000  0.0000  4 O 2.05
O  0.0000  0.5000  0.0000  2 Sn 2.05
O  0.5000  0.0000  0.0000  2 Sn 2.05

Properties
Raw formation energy in eV/atom: -0.6354
Raw total energy in eV per cell: -21.42
ρ in g/cm³: 4.9
Fermi-level density of states in states/eV per atom: 0.176

---

10.
# MgTcIO2

A geometry-optimized MgTcIO2 structure (GGA-PBEsol, the Alexandria database).

a = 3.8830 Å, b = 3.8830 Å, c = 5.6802 Å
α = 90.00°, β = 90.00°, γ = 90.00°
Last column: nearest neighbours and their distance in Å.
Positions (direct):
I  0.0000  0.0000  0.5000  4 Mg 2.75, 2 Tc 2.84
Mg  0.5000  0.5000  0.5000  4 I 2.75
Tc  0.0000  0.0000  0.0000  4 O 1.94
O  0.0000  0.5000  0.0000  2 Tc 1.94
O  0.5000  0.0000  0.0000  2 Tc 1.94

Properties
Raw formation energy in eV/atom: -0.6812
Raw total energy in eV per cell: -28.66
ρ in g/cm³: 5.5
Fermi-level density of states in states/eV per atom: 0.409

---

11.
# MgTcI2O

A geometry-optimized MgTcI2O structure (GGA-PBEsol, the Alexandria database).

a = 3.6900 Å, b = 5.6471 Å, c = 5.6471 Å
α = 90.00°, β = 90.00°, γ = 90.00°
Last column: nearest neighbours and their distance in Å.
Positions (direct):
I  0.0000  0.0000  0.5000  2 Mg 2.82
I  0.0000  0.5000  0.0000  2 Mg 2.82
Mg  0.0000  0.0000  0.0000  2 O 1.85
Tc  0.5000  0.5000  0.5000  8 I 3.37, 2 Tc 3.69
O  0.5000  0.0000  0.0000  2 Mg 1.85

Properties
Raw formation energy in eV/atom: 0.1724
Raw total energy in eV per cell: -20.90
ρ in g/cm³: 5.5
Fermi-level density of states in states/eV per atom: 0.632

---

12.
# MgTe2IO

A geometry-optimized MgTe2IO structure (GGA-PBEsol, the Alexandria database).

a = 5.4590 Å, b = 5.3858 Å, c = 5.3858 Å
α = 90.00°, β = 90.00°, γ = 90.00°
Last column: nearest neighbours and their distance in Å.
Positions (direct):
I  0.5000  0.0000  0.0000  2 Mg 2.73
Mg  0.0000  0.0000  0.0000  4 Te 2.69, 2 I 2.73
Te  0.0000  0.0000  0.5000  2 Mg 2.69
Te  0.0000  0.5000  0.0000  2 Mg 2.69
O  0.5000  0.5000  0.5000  4 I 3.81, 8 Te 3.83

Properties
Raw formation energy in eV/atom: 0.6791
Raw total energy in eV per cell: -12.39
ρ in g/cm³: 4.4
Fermi-level density of states in states/eV per atom: 1.747

---

13.
# MgWIO2

A geometry-optimized MgWIO2 structure (GGA-PBEsol, the Alexandria database).

a = 3.9392 Å, b = 3.9392 Å, c = 5.3581 Å
α = 90.00°, β = 90.00°, γ = 90.00°
Last column: nearest neighbours and their distance in Å.
Positions (direct):
I  0.0000  0.0000  0.5000  2 Mg 2.68, 4 W 2.79
Mg  0.0000  0.0000  0.0000  4 O 1.97
O  0.0000  0.5000  0.0000  2 Mg 1.97
O  0.5000  0.0000  0.0000  2 Mg 1.97
W  0.5000  0.5000  0.5000  4 I 2.79

Properties
Raw formation energy in eV/atom: 0.4813
Raw total energy in eV per cell: -25.38
ρ in g/cm³: 7.3
Fermi-level density of states in states/eV per atom: 0.887

---

14.
# MgOs3I

A geometry-optimized MgOs3I structure (GGA-PBEsol, the Alexandria database).

a = 4.7632 Å, b = 4.7632 Å, c = 4.7632 Å
α = 90.00°, β = 90.00°, γ = 90.00°
Last column: nearest neighbours and their distance in Å.
Positions (direct):
I  0.0000  0.0000  0.0000  6 Os 2.38
Mg  0.5000  0.5000  0.5000  12 Os 3.37
Os  0.0000  0.5000  0.0000  2 I 2.38
Os  0.0000  0.0000  0.5000  2 I 2.38
Os  0.5000  0.0000  0.0000  2 I 2.38

Properties
Raw formation energy in eV/atom: 2.4798
Raw total energy in eV per cell: -27.73
ρ in g/cm³: 11.1
Excess energy over the best structure of this formula in the dataset in meV/atom: 0
Fermi-level density of states in states/eV per atom: 1.403

---

15.
# MgSb2OsI

A geometry-optimized MgSb2OsI structure (GGA-PBEsol, the Alexandria database).

a = 5.2302 Å, b = 5.2485 Å, c = 5.2485 Å
α = 90.00°, β = 90.00°, γ = 90.00°
Last column: nearest neighbours and their distance in Å.
Positions (direct):
I  0.5000  0.0000  0.0000  2 Mg 2.62
Sb  0.0000  0.0000  0.5000  2 Mg 2.62
Sb  0.0000  0.5000  0.0000  2 Mg 2.62
Mg  0.0000  0.0000  0.0000  2 I 2.62, 4 Sb 2.62
Os  0.5000  0.5000  0.5000  8 Sb 3.70, 4 I 3.71

Properties
Raw formation energy in eV/atom: 1.6391
Raw total energy in eV per cell: -16.62
ρ in g/cm³: 6.7
Fermi-level density of states in states/eV per atom: 1.281